Density functional theory data (GGA-PBE) for a relaxed Tl3Ge5Au12 crystal.

Cell: 13.613 13.613 13.613 Å, 109.47 109.47 109.47°
Element x y z (fractional)
Au1 0.829 0.908 0.284
Au2 0.375 0.955 0.784
Ge1 0.000 0.500 0.000
Au3 0.625 0.045 0.216
Au4 0.716 0.125 0.045
Au5 0.284 0.875 0.955
Au6 0.171 0.092 0.716
Tl1 0.625 0.250 0.375
Au7 0.125 0.408 0.079
Au8 0.592 0.875 0.421
Au9 0.125 0.716 0.545
Tl2 0.125 0.875 0.750
Tl3 0.875 0.750 0.125
Ge2 0.000 0.500 0.500
Ge3 0.125 0.750 0.375
Ge4 0.375 0.125 0.750
Au10 0.671 0.455 0.579
Au11 0.908 0.079 0.625
Au12 0.216 0.671 0.092
Ge5 0.625 0.875 0.250
Ge6 0.500 0.000 0.500
Au13 0.545 0.329 0.921
Au14 0.908 0.829 0.784
Au15 0.171 0.079 0.955
Au16 0.671 0.216 0.592
Au17 0.421 0.375 0.592
Ge7 0.625 0.750 0.875
Ge8 0.875 0.625 0.750
Ge9 0.250 0.875 0.125
Au18 0.329 0.784 0.408
Au19 0.921 0.092 0.875
Ge10 0.750 0.625 0.375
Tl4 0.625 0.375 0.750
Ge11 0.500 0.000 0.000
Ge12 0.125 0.375 0.250
Au20 0.092 0.921 0.375
Tl5 0.750 0.875 0.625
Ge13 0.500 0.500 0.000
Au21 0.784 0.329 0.908
Au22 0.045 0.421 0.829
Au23 0.284 0.408 0.829
Au24 0.716 0.592 0.171
Au25 0.579 0.955 0.671
Ge14 0.875 0.250 0.625
Ge15 0.375 0.250 0.125
Au26 0.455 0.671 0.079
Au27 0.455 0.784 0.875
Au28 0.592 0.716 0.671
Ge16 0.250 0.375 0.625
Tl6 0.250 0.625 0.875
Au29 0.329 0.545 0.421
Au30 0.625 0.579 0.908
Au31 0.045 0.625 0.716
Au32 0.784 0.455 0.375
Au33 0.079 0.908 0.125
Au34 0.875 0.592 0.921
Tl7 0.375 0.750 0.625
Ge17 0.000 0.000 0.500
Au35 0.079 0.171 0.455
Ge18 0.000 0.000 0.000
Ge19 0.750 0.125 0.875
Tl8 0.750 0.375 0.125
Tl9 0.375 0.625 0.250
Tl10 0.250 0.125 0.375
Au36 0.092 0.171 0.216
Au37 0.408 0.284 0.329
Ge20 0.500 0.500 0.500
Au38 0.955 0.375 0.284
Au39 0.408 0.125 0.579
Au40 0.216 0.545 0.625
Au41 0.421 0.045 0.329
Au42 0.921 0.829 0.545
Au43 0.375 0.421 0.092
Au44 0.875 0.284 0.455
Tl11 0.125 0.250 0.875
Au45 0.829 0.921 0.045
Tl12 0.875 0.125 0.250
Au46 0.579 0.625 0.408
Au47 0.545 0.216 0.125
Au48 0.955 0.579 0.171

Values from the calculation:
volume = 24.3 Å³ per atom
energy of formation from the pure elements = 155 meV/atom
space group = Ia-3d (230)

Density functional theory data (GGA-PBE) for a relaxed Tl3Ge3Au8 crystal.

Cell: 4.447 8.792 9.444 Å, 61.08 76.38 75.35°
Element x y z (fractional)
Tl1 0.288 0.786 0.638
Au1 0.624 0.956 0.795
Au2 0.376 0.044 0.205
Ge1 0.321 0.366 0.992
Tl2 0.712 0.214 0.362
Tl3 0.000 0.000 0.000
Au3 0.143 0.536 0.178
Au4 0.482 0.351 0.686
Au5 0.857 0.464 0.822
Ge2 0.000 0.500 0.500
Au6 0.888 0.839 0.384
Au7 0.518 0.649 0.314
Ge3 0.679 0.634 0.008
Au8 0.112 0.161 0.616

Values from the calculation:
volume = 22.1 Å³ per atom
energy of formation from the pure elements = -4 meV/atom
space group = C2/m (12)